La4SnTe3: optimized geometry, PBE-GGA. Values from VASP.

Cell and atoms, written as Quantum ESPRESSO input:
```
&SYSTEM
  ibrav = 0, nat = 8, ntyp = 3
/
ATOMIC_SPECIES
Te 127.60 Te.upf
Sn 118.71 Sn.upf
La 138.91 La.upf
CELL_PARAMETERS angstrom
-5.122 -2.429 3.187
-3.112 -0.845 -5.647
6.648 -4.352 0.732
ATOMIC_POSITIONS crystal
Te 0.500 0.500 0.000
Te 0.750 0.250 0.500
Te 0.250 0.750 0.500
Sn 0.000 0.000 0.000
La 0.754 0.754 0.507
La 0.246 0.246 0.493
La 0.500 0.000 0.000
La 0.000 0.500 0.000
```

Space group: I4/mmm
Raw formation energy, eV per atom: -1.440

Nd5Tm12Au3: optimized geometry, PBE-GGA. Values from VASP.

Cell and atoms, written as Quantum ESPRESSO input:
```
&SYSTEM
  ibrav = 0, nat = 80, ntyp = 3
/
ATOMIC_SPECIES
Tm 168.93 Tm.upf
Au 196.97 Au.upf
Nd 144.24 Nd.upf
CELL_PARAMETERS angstrom
15.622 0.000 0.000
-5.207 14.729 0.000
-5.207 -7.364 12.755
ATOMIC_POSITIONS crystal
Tm 0.894 0.046 0.633
Tm 0.413 0.652 0.046
Tm 0.913 0.546 0.152
Tm 0.606 0.867 0.454
Tm 0.348 0.587 0.454
Tm 0.261 0.867 0.913
Tm 0.652 0.239 0.606
Tm 0.394 0.261 0.348
Tm 0.239 0.652 0.106
Tm 0.087 0.633 0.739
Tm 0.848 0.954 0.087
Tm 0.867 0.261 0.413
Tm 0.413 0.761 0.867
Tm 0.394 0.133 0.546
Tm 0.454 0.087 0.348
Tm 0.913 0.367 0.261
Tm 0.739 0.606 0.152
Tm 0.867 0.606 0.954
Tm 0.261 0.394 0.848
Tm 0.106 0.152 0.239
Tm 0.652 0.413 0.546
Tm 0.954 0.848 0.587
Tm 0.106 0.954 0.367
Tm 0.239 0.587 0.633
Tm 0.761 0.348 0.894
Tm 0.546 0.633 0.394
Tm 0.046 0.894 0.133
Tm 0.606 0.739 0.652
Tm 0.454 0.367 0.606
Tm 0.894 0.848 0.761
Tm 0.367 0.913 0.761
Tm 0.367 0.454 0.106
Tm 0.133 0.739 0.587
Tm 0.848 0.894 0.261
Tm 0.587 0.348 0.954
Tm 0.348 0.761 0.394
Tm 0.087 0.454 0.848
Tm 0.046 0.152 0.413
Tm 0.152 0.046 0.913
Tm 0.546 0.913 0.652
Tm 0.133 0.394 0.046
Tm 0.633 0.087 0.239
Tm 0.761 0.413 0.367
Tm 0.152 0.106 0.739
Tm 0.633 0.546 0.894
Tm 0.739 0.133 0.087
Tm 0.587 0.239 0.133
Tm 0.954 0.106 0.867
Au 0.750 0.875 0.625
Au 0.375 0.750 0.625
Au 0.625 0.250 0.375
Au 0.875 0.750 0.125
Au 0.875 0.125 0.250
Au 0.625 0.375 0.750
Au 0.250 0.625 0.875
Au 0.125 0.250 0.875
Au 0.375 0.625 0.250
Au 0.125 0.875 0.750
Au 0.250 0.125 0.375
Au 0.750 0.375 0.125
Nd 0.875 0.625 0.750
Nd 0.250 0.375 0.625
Nd 0.375 0.125 0.750
Nd 0.500 0.500 0.000
Nd 0.625 0.875 0.250
Nd 0.125 0.750 0.375
Nd 0.500 0.000 0.000
Nd 0.750 0.625 0.375
Nd 0.500 0.500 0.500
Nd 0.625 0.750 0.875
Nd 0.000 0.500 0.500
Nd 0.750 0.125 0.875
Nd 0.125 0.375 0.250
Nd 0.375 0.250 0.125
Nd 0.000 0.000 0.500
Nd 0.000 0.000 0.000
Nd 0.500 0.000 0.500
Nd 0.875 0.250 0.625
Nd 0.000 0.500 0.000
Nd 0.250 0.875 0.125
```

Space group: Ia-3d
ΔH_f (0 K), eV/atom: 0.64

Result set for total magnetic moment: 0.0; 0.0 μB per cell, one per record in the order listed.